Record 1
VASP calculation (PBE-GGA) on an optimized crystal structure of Re2PbO2.

Lattice parameters (Å, degrees): 5.367 5.367 5.367 136.68 136.68 62.93
Positions (direct):
Re 0.126 0.126 0.000
Re 0.874 0.874 0.000
Pb 0.500 0.500 0.000
O 0.250 0.750 0.500
O 0.750 0.250 0.500

Calculated values
energy relative to the elements, uncorrected: 0.163 eV/atom
spin magnetization: 0.00 μB/f.u.


Record 2
VASP calculation (PBE-GGA) on an optimized crystal structure of TmZn2GaNi4.

Lattice parameters (Å, degrees): 7.565 7.565 7.565 32.37 32.37 32.37
Positions (direct):
Tm 0.000 0.000 0.000
Zn 0.249 0.249 0.249
Zn 0.751 0.751 0.751
Ga 0.500 0.500 0.500
Ni 0.129 0.129 0.129
Ni 0.391 0.391 0.391
Ni 0.609 0.609 0.609
Ni 0.871 0.871 0.871

Calculated values
DFT formation energy: -0.329 eV per atom
spin magnetization: 0.00 μB/f.u.


Record 3
VASP calculation (PBE-GGA) on an optimized crystal structure of LaZnAs2.

Lattice parameters (Å, degrees): 5.035 5.035 5.035 60.00 60.00 60.00
Positions (direct):
La 0.000 0.000 0.000
Zn 0.250 0.250 0.250
As 0.500 0.500 0.500
As 0.750 0.750 0.750

Calculated values
DFT formation energy: -0.340 eV per atom
spin magnetization: 0.00 μB/f.u.


Record 4
VASP calculation (PBE-GGA) on an optimized crystal structure of Na2Tl6Ag.

Lattice parameters (Å, degrees): 9.648 9.648 3.522 90.00 90.00 120.00
Positions (direct):
Na 0.333 0.667 0.245
Na 0.667 0.333 0.755
Tl 0.170 0.340 0.739
Tl 0.170 0.830 0.739
Tl 0.340 0.170 0.261
Tl 0.660 0.830 0.739
Tl 0.830 0.170 0.261
Tl 0.830 0.660 0.261
Ag 0.000 0.000 0.000

Calculated values
DFT formation energy: 0.046 eV per atom
spin magnetization: 0.00 μB/f.u.


Record 5
VASP calculation (PBE-GGA) on an optimized crystal structure of ReAu2Cl.

Lattice parameters (Å, degrees): 4.749 4.749 4.749 60.00 60.00 60.00
Positions (direct):
Re 0.000 0.000 0.000
Au 0.250 0.250 0.250
Au 0.750 0.750 0.750
Cl 0.500 0.500 0.500

Calculated values
energy relative to the elements, uncorrected: 1.118 eV/atom
spin magnetization: 3.70 μB/f.u.